1.
Tl5ICl8: optimized geometry, GGA-PBE.

Structure (CIF):
```
data_Tl5ICl8
_cell_length_a 9.443
_cell_length_b 9.443
_cell_length_c 10.721
_cell_angle_alpha 90.00
_cell_angle_beta 90.00
_cell_angle_gamma 90.00
_space_group_name_H-M_alt 'I -4'
_space_group_IT_number 82
loop_
_space_group_symop_operation_xyz
'x,y,z'
'y,-x,-z'
'-x,-y,z'
'-y,x,-z'
'x+1/2,y+1/2,z+1/2'
'y+1/2,-x+1/2,-z+1/2'
'-x+1/2,-y+1/2,z+1/2'
'-y+1/2,x+1/2,-z+1/2'
loop_
_atom_site_label
_atom_site_type_symbol
_atom_site_fract_x
_atom_site_fract_y
_atom_site_fract_z
Tl1 Tl 0.000 0.000 0.000
Tl2 Tl 0.095 0.728 0.612
I1 I 0.000 0.500 0.250
Cl1 Cl 0.054 0.763 0.257
Cl2 Cl 0.070 0.694 0.893
```

Output
* size of the total moment: 0.000 μB per atom
* raw formation energy: -17.977 kcal/mol of atoms
* uncorrected energy: -2.7906 eV per atom

=====

2.
CaFeAg3: optimized geometry, GGA-PBE.

Structure (CIF):
```
data_CaFeAg3
_cell_length_a 4.927
_cell_length_b 4.927
_cell_length_c 4.927
_cell_angle_alpha 90.00
_cell_angle_beta 90.00
_cell_angle_gamma 90.00
_space_group_name_H-M_alt 'P m -3 m'
_space_group_IT_number 221
_space_group_name_Hall '-P 4 2 3'
loop_
_atom_site_label
_atom_site_type_symbol
_atom_site_fract_x
_atom_site_fract_y
_atom_site_fract_z
Ca1 Ca 0.000 0.000 0.000
Fe1 Fe 0.500 0.500 0.500
Ag1 Ag 0.000 0.500 0.500
```

Output
* size of the total moment: 0.567 μB per atom
* energy of formation from the pure elements: 0.39 eV per atom
* uncorrected energy: -3.4138 eV per atom
* E above lowest polymorph: 0.000 eV per atom